one) KNiI2O | PBE+U | relaxed Values from VASP.

- ρ: 4.36 g cm⁻³

Cell and atoms, written as Quantum ESPRESSO input:
```
&SYSTEM
  ibrav = 0, nat = 5, ntyp = 4
/
ATOMIC_SPECIES
I 126.90 I.upf
K 39.10 K.upf
Ni 58.69 Ni.upf
O 16.00 O.upf
CELL_PARAMETERS angstrom
6.259 0.000 0.000
0.000 6.259 0.000
0.000 0.000 3.574
ATOMIC_POSITIONS crystal
I 0.500 0.000 0.000
K 0.500 0.500 0.500
Ni 0.000 0.000 0.000
O 0.000 0.000 0.500
I 0.000 0.500 0.000
```



two) KNiI2O | PBE+U | relaxed Values from VASP.

- ρ: 3.25 g cm⁻³

Cell and atoms, written as Quantum ESPRESSO input:
```
&SYSTEM
  ibrav = 0, nat = 5, ntyp = 4
/
ATOMIC_SPECIES
K 39.10 K.upf
I 126.90 I.upf
O 16.00 O.upf
Ni 58.69 Ni.upf
CELL_PARAMETERS angstrom
-3.958 -3.115 -3.837
1.775 -5.484 2.620
-3.413 0.416 3.183
ATOMIC_POSITIONS crystal
K 0.000 0.000 0.000
I 0.500 0.000 0.000
O 0.000 0.000 0.500
I 0.000 0.500 0.000
Ni 0.500 0.500 0.500
```



one) is the most stable structure; the next one sits 1232 meV per atom above it.